[1]
# ErPuAu2

An optimized crystal structure of ErPuAu2 (PBE-GGA, Alexandria).

a = 4.0581 Å, b = 4.0581 Å, c = 7.7721 Å
α = 74.87°, β = 74.87°, γ = 60.00°
Each line ends with the local moment (μB).
Fractional positions:
Er 0.0000 0.0000 0.0000  0.10
Au 0.7457 0.7457 0.7629  0.03
Au 0.2543 0.2543 0.2371  0.03
Pu 0.5000 0.5000 0.5000  5.41

## Properties
E above lowest polymorph: 0.168 eV per atom
spin magnetization: 5.92 μB per cell
total energy: -0.2513 Ha/atom
formation enthalpy at 0 K: -477 meV/atom

[2]
# HgAuCl2

An optimized crystal structure of HgAuCl2 (PBE-GGA, Alexandria).

a = 3.4146 Å, b = 3.3888 Å, c = 7.6940 Å
α = 90.00°, β = 90.00°, γ = 90.00°
Fractional positions:
Au 0.5000 0.5000 0.7500
Hg 0.5000 0.5000 0.2500
Cl 0.0000 0.0000 0.9705
Cl 0.0000 0.0000 0.5295

## Properties
E above lowest polymorph: 0.394 eV per atom
spin magnetization: 0.00 μB per cell
total energy: -0.0613 Ha/atom
ΔE_f (raw): 0.15 eV per atom

[3]
# Cs3Tl2Au2

An optimized crystal structure of Cs3Tl2Au2 (PBE-GGA, Alexandria).

a = 4.8451 Å, b = 7.5351 Å, c = 10.0020 Å
α = 116.78°, β = 90.00°, γ = 108.75°
Fractional positions:
Cs 0.2901 0.5802 0.3346
Cs 0.7099 0.4198 0.6654
Cs 0.5000 0.0000 0.0000
Tl 0.9898 0.9796 0.6615
Tl 0.0102 0.0204 0.3385
Au 0.8054 0.6108 0.0747
Au 0.1946 0.3892 0.9253

## Properties
spin magnetization: 0.00 μB per cell
total energy: -0.0783 Ha/atom
formation enthalpy at 0 K: -153 meV/atom

[4]
# Tl4CoSb

An optimized crystal structure of Tl4CoSb (PBE-GGA, Alexandria).

a = 6.2965 Å, b = 6.2965 Å, c = 6.2965 Å
α = 60.00°, β = 60.00°, γ = 60.00°
Each line ends with the local moment (μB).
Fractional positions:
Tl 0.8748 0.3751 0.3751  -0.02
Tl 0.3751 0.3751 0.8748  -0.02
Tl 0.3751 0.8748 0.3751  -0.02
Tl 0.3751 0.3751 0.3751  -0.02
Co 0.7500 0.7500 0.7500  2.06
Sb 0.0000 0.0000 0.0000  0.00

## Properties
spin magnetization: 1.91 μB per cell
total energy: -0.1010 Ha/atom
ΔE_f (raw): 0.70 eV per atom

[5]
# KPbCl2

An optimized crystal structure of KPbCl2 (PBE-GGA, Alexandria).

a = 6.0340 Å, b = 6.0340 Å, c = 6.0340 Å
α = 137.68°, β = 107.60°, γ = 87.61°
Each line ends with the local moment (μB).
Fractional positions:
Pb 0.7500 0.2500 0.5000  0.30
K 0.2500 0.7500 0.5000  0.01
Cl 0.9798 0.9798 0.0000  0.03
Cl 0.5202 0.5202 0.0000  0.03

## Properties
E above lowest polymorph: 0.149 eV per atom
spin magnetization: 0.98 μB per cell
total energy: -0.1185 Ha/atom
ΔE_f (raw): -1.10 eV per atom

[6]
# VGaNi6

An optimized crystal structure of VGaNi6 (PBE-GGA, Alexandria).

a = 4.2639 Å, b = 4.2639 Å, c = 6.4038 Å
α = 74.70°, β = 74.70°, γ = 68.62°
Fractional positions:
V 0.5000 0.5000 0.5000
Ga 0.0000 0.0000 0.0000
Ni 0.0567 0.5340 0.3036
Ni 0.5340 0.0567 0.3036
Ni 0.4660 0.9433 0.6964
Ni 0.9433 0.4660 0.6964
Ni 0.3625 0.3625 0.9292
Ni 0.6375 0.6375 0.0708

## Properties
E above lowest polymorph: 0.373 eV per atom
spin magnetization: 0.00 μB per cell
total energy: -0.2124 Ha/atom
formation enthalpy at 0 K: 74 meV/atom

[7]
# SmY2Ho3Te6

An optimized crystal structure of SmY2Ho3Te6 (PBE-GGA, Alexandria).

a = 4.3431 Å, b = 8.7757 Å, c = 9.7682 Å
α = 103.26°, β = 102.84°, γ = 90.00°
Fractional positions:
Sm 0.5000 0.0000 0.0000
Y 0.8354 0.6713 0.6709
Y 0.1646 0.3287 0.3291
Ho 0.5000 0.5000 0.0000
Ho 0.8361 0.1678 0.6721
Ho 0.1639 0.8322 0.3279
Te 0.3299 0.9181 0.6597
Te 0.6671 0.5837 0.3342
Te 0.6701 0.0819 0.3403
Te 0.9998 0.2565 0.9996
Te 0.0002 0.7435 0.0004
Te 0.3329 0.4163 0.6658

## Properties
spin magnetization: 0.00 μB per cell
total energy: -0.2013 Ha/atom
ΔE_f (raw): -1.29 eV per atom

[8]
# La4Pm3Th

An optimized crystal structure of La4Pm3Th (PBE-GGA, Alexandria).

a = 3.4727 Å, b = 9.1074 Å, c = 9.1074 Å
α = 97.61°, β = 90.00°, γ = 90.00°
Fractional positions:
La 0.0000 0.7606 0.7606
La 0.5000 0.2481 0.7519
La 0.0000 0.2394 0.2394
La 0.5000 0.7519 0.2481
Pm 0.0000 0.0000 0.5000
Pm 0.5000 0.5000 0.5000
Pm 0.0000 0.5000 0.0000
Th 0.5000 0.0000 0.0000

## Properties
E above lowest polymorph: 0.135 eV per atom
spin magnetization: 0.00 μB per cell
total energy: -0.1775 Ha/atom
formation enthalpy at 0 K: 343 meV/atom

[9]
# SrTaZn

An optimized crystal structure of SrTaZn (PBE-GGA, Alexandria).

a = 4.8495 Å, b = 4.8495 Å, c = 4.8495 Å
α = 60.00°, β = 60.00°, γ = 60.00°
Each line ends with the local moment (μB).
Fractional positions:
Sr 0.0000 0.0000 0.0000  0.09
Ta 0.5000 0.5000 0.5000  1.03
Zn 0.7500 0.7500 0.7500  -0.01

## Properties
E above lowest polymorph: 0.621 eV per atom
spin magnetization: 1.80 μB per cell
total energy: -0.1405 Ha/atom
formation enthalpy at 0 K: 1113 meV/atom

[10]
# CaMgHg

An optimized crystal structure of CaMgHg (PBE-GGA, Alexandria).

a = 5.1819 Å, b = 5.1819 Å, c = 5.1819 Å
α = 60.00°, β = 60.00°, γ = 60.00°
Fractional positions:
Ca 0.2500 0.2500 0.2500
Hg 0.0000 0.0000 0.0000
Mg 0.5000 0.5000 0.5000

## Properties
spin magnetization: 0.00 μB per cell
total energy: -0.0441 Ha/atom
formation enthalpy at 0 K: 99 meV/atom

[11]
# Li2NiSe

An optimized crystal structure of Li2NiSe (PBE-GGA, Alexandria).

a = 3.6941 Å, b = 3.6935 Å, c = 3.8423 Å
α = 90.00°, β = 90.00°, γ = 90.00°
Fractional positions:
Li 0.0000 0.0000 0.0000
Li 0.5000 0.5000 0.0000
Ni 0.5000 0.0000 0.5000
Se 0.0000 0.5000 0.5000

## Properties
spin magnetization: 0.00 μB per cell
total energy: -0.1384 Ha/atom
ΔE_f (raw): -0.49 eV per atom

[12]
# ZrCCl3

An optimized crystal structure of ZrCCl3 (PBE-GGA, Alexandria).

a = 4.4484 Å, b = 4.4484 Å, c = 4.4484 Å
α = 90.00°, β = 90.00°, γ = 90.00°
Each line ends with the local moment (μB).
Fractional positions:
C 0.0000 0.0000 0.0000  -0.01
Zr 0.5000 0.5000 0.5000  1.45
Cl 0.0000 0.5000 0.0000  -0.03
Cl 0.0000 0.0000 0.5000  -0.02
Cl 0.5000 0.0000 0.0000  -0.02

## Properties
E above lowest polymorph: 0.590 eV per atom
spin magnetization: 2.02 μB per cell
total energy: -0.1402 Ha/atom
ΔE_f (raw): 0.85 eV per atom

[13]
# RbTl4In2Pb

An optimized crystal structure of RbTl4In2Pb (PBE-GGA, Alexandria).

a = 5.5488 Å, b = 5.5488 Å, c = 11.0093 Å
α = 75.40°, β = 75.40°, γ = 60.00°
Fractional positions:
Rb 0.0000 0.0000 0.0000
Tl 0.3986 0.3986 0.8043
Tl 0.8717 0.8717 0.3849
Tl 0.1283 0.1283 0.6151
Tl 0.6014 0.6014 0.1957
In 0.7675 0.7675 0.6974
In 0.2325 0.2325 0.3026
Pb 0.5000 0.5000 0.5000

## Properties
spin magnetization: 0.00 μB per cell
total energy: -0.0906 Ha/atom
formation enthalpy at 0 K: -13 meV/atom

[14]
# LiBP

An optimized crystal structure of LiBP (PBE-GGA, Alexandria).

a = 3.1850 Å, b = 3.7377 Å, c = 7.0888 Å
α = 90.03°, β = 102.94°, γ = 90.00°
Fractional positions:
Li 0.2369 0.5520 0.6717
Li 0.5111 0.5517 0.2201
B 0.7967 0.0522 0.7913
B 0.6731 0.0518 0.5447
P 0.3708 0.0524 0.9399
P 0.0977 0.0516 0.3930

## Properties
E above lowest polymorph: 0.053 eV per atom
spin magnetization: 0.00 μB per cell
total energy: -0.1815 Ha/atom
formation enthalpy at 0 K: -270 meV/atom

[15]
# Pm2Zn7Ir

An optimized crystal structure of Pm2Zn7Ir (PBE-GGA, Alexandria).

a = 4.1215 Å, b = 4.1215 Å, c = 11.0215 Å
α = 90.00°, β = 90.00°, γ = 90.00°
Fractional positions:
Pm 0.5000 0.0000 0.7607
Pm 0.0000 0.5000 0.2393
Zn 0.0000 0.5000 0.8644
Zn 0.5000 0.0000 0.3610
Zn 0.5000 0.0000 0.1356
Zn 0.0000 0.5000 0.6390
Zn 0.0000 0.0000 0.5000
Zn 0.0000 0.0000 0.0000
Zn 0.5000 0.5000 0.5000
Ir 0.5000 0.5000 0.0000

## Properties
spin magnetization: 0.00 μB per cell
total energy: -0.1120 Ha/atom
formation enthalpy at 0 K: -319 meV/atom

[16]
# La8C8Cl5

An optimized crystal structure of La8C8Cl5 (PBE-GGA, Alexandria).

a = 17.1838 Å, b = 6.9331 Å, c = 7.8221 Å
α = 76.19°, β = 90.00°, γ = 90.00°
Fractional positions:
La 0.1731 0.6080 0.6995
La 0.9301 0.6215 0.8485
La 0.1941 0.8793 0.0768
La 0.9512 0.8828 0.2262
La 0.8269 0.3920 0.3005
La 0.6941 0.6207 0.9232
La 0.0699 0.3785 0.1515
La 0.8059 0.1207 0.9232
La 0.3059 0.3793 0.0768
La 0.0488 0.1172 0.7738
La 0.5488 0.3828 0.2262
La 0.5699 0.1215 0.8485
La 0.3269 0.1080 0.6995
La 0.4512 0.6172 0.7738
La 0.4301 0.8785 0.1515
La 0.6731 0.8920 0.3005
C 0.3399 0.7700 0.9504
C 0.0855 0.7220 0.9026
C 0.9145 0.2780 0.0974
C 0.6601 0.2300 0.0496
C 0.1601 0.2700 0.9504
C 0.4145 0.2220 0.9026
C 0.5855 0.7780 0.0974
C 0.0384 0.7797 0.0203
C 0.5384 0.7203 0.9797
C 0.8399 0.7300 0.0496
C 0.2840 0.7209 0.8462
C 0.7160 0.2791 0.1538
C 0.2160 0.2209 0.8462
C 0.9616 0.2203 0.9797
C 0.7840 0.7791 0.1538
C 0.4616 0.2797 0.0203
Cl 0.5974 0.5181 0.5890
Cl 0.0974 0.9819 0.4110
Cl 0.2030 0.4858 0.3494
Cl 0.4026 0.4819 0.4110
Cl 0.9026 0.0181 0.5890
Cl 0.7970 0.5142 0.6506
Cl 0.5000 0.0000 0.5000
Cl 0.7030 0.0142 0.6506
Cl 0.2970 0.9858 0.3494
Cl 0.0000 0.5000 0.5000

## Properties
spin magnetization: 0.00 μB per cell
total energy: -0.2524 Ha/atom
ΔE_f (raw): -1.04 eV per atom

[17]
# AcCePr4Se8

An optimized crystal structure of AcCePr4Se8 (PBE-GGA, Alexandria).

a = 8.8335 Å, b = 8.8335 Å, c = 8.8335 Å
α = 60.00°, β = 60.00°, γ = 60.00°
Each line ends with the local moment (μB).
Fractional positions:
Ac 0.3756 0.3756 0.8732  0.01
Ce 0.9983 0.9983 0.0051  1.08
Pr 0.6244 0.6244 0.1268  0.07
Pr 0.9981 0.5058 0.4980  0.07
Pr 0.5058 0.9981 0.4980  0.07
Pr 0.9981 0.9981 0.4980  0.07
Se 0.2375 0.7854 0.7396  -0.01
Se 0.7854 0.2375 0.7396  -0.01
Se 0.2375 0.2375 0.7396  -0.01
Se 0.2389 0.2389 0.2833  0.00
Se 0.7576 0.2289 0.2560  -0.01
Se 0.2289 0.7576 0.2560  -0.01
Se 0.7576 0.7576 0.2560  -0.01
Se 0.7564 0.7564 0.7308  0.00

## Properties
spin magnetization: 1.80 μB per cell
total energy: -0.2133 Ha/atom
ΔE_f (raw): -1.73 eV per atom

[18]
# La2GaB3Rh12

An optimized crystal structure of La2GaB3Rh12 (PBE-GGA, Alexandria).

a = 7.1235 Å, b = 7.1235 Å, c = 7.1235 Å
α = 64.57°, β = 64.57°, γ = 64.57°
Fractional positions:
La 0.5941 0.5941 0.5941
La 0.4059 0.4059 0.4059
Ga 0.0000 0.0000 0.0000
B 0.5000 0.0000 0.0000
B 0.0000 0.5000 0.0000
B 0.0000 0.0000 0.5000
Rh 0.2683 0.2683 0.8798
Rh 0.8488 0.8488 0.4304
Rh 0.4304 0.8488 0.8488
Rh 0.8798 0.2683 0.2683
Rh 0.8488 0.4304 0.8488
Rh 0.2683 0.8798 0.2683
Rh 0.7317 0.7317 0.1202
Rh 0.1512 0.1512 0.5696
Rh 0.5696 0.1512 0.1512
Rh 0.1202 0.7317 0.7317
Rh 0.1512 0.5696 0.1512
Rh 0.7317 0.1202 0.7317

## Properties
spin magnetization: 0.00 μB per cell
total energy: -0.2549 Ha/atom
formation enthalpy at 0 K: -206 meV/atom

[19]
# Sc2CdTe

An optimized crystal structure of Sc2CdTe (PBE-GGA, Alexandria).

a = 6.0214 Å, b = 6.0214 Å, c = 6.0214 Å
α = 141.97°, β = 135.96°, γ = 59.57°
Fractional positions:
Cd 0.2539 0.7539 0.5000
Sc 0.9970 0.9970 0.0000
Sc 0.7443 0.2443 0.5000
Te 0.5048 0.5048 0.0000

## Properties
E above lowest polymorph: 0.084 eV per atom
spin magnetization: 0.00 μB per cell
total energy: -0.1718 Ha/atom
ΔE_f (raw): -0.49 eV per atom

[20]
# InPOs

An optimized crystal structure of InPOs (PBE-GGA, Alexandria).

a = 3.9461 Å, b = 3.9461 Å, c = 4.0605 Å
α = 90.00°, β = 90.00°, γ = 120.00°
Fractional positions:
In 0.0000 0.0000 0.0000
Os 0.3333 0.6667 0.5000
P 0.6667 0.3333 0.5000

## Properties
E above lowest polymorph: 0.138 eV per atom
spin magnetization: 0.00 μB per cell
total energy: -0.2299 Ha/atom
formation enthalpy at 0 K: 203 meV/atom